Entry from Alexandria: a geometry-optimized CsTaTlSe4 structure (PBE).

Calculated values
- Uncorrected energy: -4.871 eV per atom
- Symmetry: No. 11
- D(E_F): 0.41 states/eV per atom
- Magnetic moment: 0.00 Bohr magnetons per cell

Cell: 6.445 7.788 10.489 Å, 90.00 108.90 90.00°
Fractional positions:
Se  0.083  0.998  0.731
Se  0.917  0.498  0.269
Tl  0.144  0.250  0.499
Cs  0.681  0.750  0.896
Se  0.083  0.502  0.731
Cs  0.319  0.250  0.104
Se  0.420  0.750  0.519
Se  0.580  0.250  0.481
Ta  0.153  0.750  0.294
Tl  0.856  0.750  0.501
Se  0.917  0.002  0.269
Se  0.683  0.250  0.877
Ta  0.847  0.250  0.706
Se  0.317  0.750  0.123